# 1
Entry from Alexandria: crystalline PrTm4Pd4 at its relaxed geometry (GGA-PBE).

Geometry as POSCAR:
```
PrTm4Pd4
1.0
5.676 0.000 0.000
0.000 9.080 0.000
0.000 0.000 9.080
Pr Tm Pd
2 8 8
direct
0.000 0.000 0.000
0.500 0.500 0.500
0.413 0.333 0.901
0.913 0.599 0.833
0.413 0.667 0.099
0.087 0.167 0.599
0.587 0.901 0.667
0.087 0.833 0.401
0.913 0.401 0.167
0.587 0.099 0.333
0.587 0.793 0.368
0.587 0.207 0.632
0.087 0.868 0.707
0.913 0.293 0.868
0.913 0.707 0.132
0.413 0.368 0.207
0.413 0.632 0.793
0.087 0.132 0.293
```

Computed properties:
The symmetry is P4_2/n. The formation energy comes out at -0.686 eV per atom.

# 2
Entry from Alexandria: crystalline Pr2TmPd4 at its relaxed geometry (GGA-PBE).

Geometry as POSCAR:
```
Pr2TmPd4
1.0
4.803 0.796 -1.571
0.424 4.850 -1.571
-0.647 -0.699 8.658
Pr Tm Pd
2 1 4
direct
0.636 0.636 0.272
0.364 0.364 0.728
0.000 0.000 0.000
0.824 0.824 0.648
0.176 0.176 0.352
0.000 0.500 0.000
0.500 0.000 0.000
```

Computed properties:
The symmetry is Fmmm. The formation energy comes out at -0.327 eV per atom.

# 3
Entry from Alexandria: crystalline Pr2TmPd2 at its relaxed geometry (GGA-PBE).

Geometry as POSCAR:
```
Pr2TmPd2
1.0
4.012 0.000 0.000
2.006 6.545 0.003
2.006 0.959 10.034
Pr Tm Pd
4 2 4
direct
0.330 0.262 0.078
0.456 0.393 0.695
0.670 0.738 0.922
0.544 0.607 0.305
0.794 0.052 0.360
0.206 0.948 0.640
0.989 0.144 0.879
0.124 0.304 0.447
0.011 0.856 0.121
0.876 0.696 0.553
```

Computed properties:
For the energy relative to the lowest polymorph listed for this composition, the calculation gives 0.0000 eV/atom. The symmetry is C2/m. The formation energy comes out at -0.678 eV per atom.

# 4
Entry from Alexandria: crystalline PrTmPd2 at its relaxed geometry (GGA-PBE).

Geometry as POSCAR:
```
PrTmPd2
1.0
7.070 0.000 -0.003
0.000 5.661 0.000
-0.005 0.000 9.315
Pr Tm Pd
4 4 8
direct
0.181 0.358 0.130
0.319 0.858 0.870
0.681 0.142 0.130
0.819 0.642 0.870
0.684 0.144 0.620
0.184 0.356 0.620
0.316 0.856 0.380
0.816 0.644 0.380
0.542 0.654 0.135
0.042 0.846 0.135
0.958 0.154 0.383
0.958 0.154 0.865
0.042 0.846 0.617
0.542 0.654 0.617
0.458 0.346 0.865
0.458 0.346 0.383
```

Computed properties:
For the energy relative to the lowest polymorph listed for this composition, the calculation gives 0.0000 eV/atom. The symmetry is P2_1/c. The formation energy comes out at -0.860 eV per atom.

# 5
Entry from Alexandria: crystalline PrTm3Pd12 at its relaxed geometry (GGA-PBE).

Geometry as POSCAR:
```
PrTm3Pd12
1.0
4.126 0.000 0.000
0.000 4.126 0.000
0.000 0.000 16.514
Pr Tm Pd
1 3 12
direct
0.000 0.000 0.000
0.000 0.000 0.255
0.000 0.000 0.500
0.000 0.000 0.745
0.500 0.500 0.000
0.500 0.500 0.254
0.500 0.500 0.500
0.500 0.500 0.746
0.500 0.000 0.132
0.500 0.000 0.377
0.500 0.000 0.623
0.500 0.000 0.868
0.000 0.500 0.132
0.000 0.500 0.377
0.000 0.500 0.623
0.000 0.500 0.868
```

Computed properties:
The symmetry is P4/mmm. The formation energy comes out at -0.867 eV per atom.

# 6
Entry from Alexandria: crystalline Pr2TmPd3 at its relaxed geometry (GGA-PBE).

Geometry as POSCAR:
```
Pr2TmPd3
1.0
5.896 0.000 0.000
0.000 8.396 -0.002
-2.948 -2.104 6.221
Pr Tm Pd
4 2 6
direct
0.671 0.584 0.338
0.667 0.084 0.338
0.333 0.916 0.662
0.329 0.416 0.662
0.991 0.750 0.000
0.009 0.250 0.000
0.509 0.250 0.000
0.491 0.750 0.000
0.153 0.078 0.310
0.843 0.422 0.690
0.157 0.578 0.310
0.847 0.922 0.690
```

Computed properties:
The symmetry is C2/c. The formation energy comes out at -0.687 eV per atom.

# 7
Entry from Alexandria: crystalline PrTmPd at its relaxed geometry (GGA-PBE).

Geometry as POSCAR:
```
PrTmPd
1.0
-3.278 -1.708 1.722
0.353 -3.544 1.985
2.310 6.054 10.399
Pr Tm Pd
2 2 2
direct
0.155 0.561 0.017
0.155 0.561 0.562
0.822 0.227 0.789
0.488 0.894 0.289
0.821 0.228 0.163
0.821 0.228 0.415
```

Computed properties:
For the energy relative to the lowest polymorph listed for this composition, the calculation gives 0.1861 eV/atom. The symmetry is P-6m2. The formation energy comes out at -0.385 eV per atom.

# 8
Entry from Alexandria: crystalline PrTmPd2 at its relaxed geometry (GGA-PBE).

Geometry as POSCAR:
```
PrTmPd2
1.0
5.041 0.000 0.000
2.521 4.366 0.000
2.521 1.455 4.116
Pr Tm Pd
1 1 2
direct
0.500 0.500 0.500
0.000 0.000 0.000
0.250 0.250 0.250
0.750 0.750 0.750
```

Computed properties:
For the energy relative to the lowest polymorph listed for this composition, the calculation gives 0.0604 eV/atom. The symmetry is Fm-3m. The formation energy comes out at -0.799 eV per atom.

# 9
Entry from Alexandria: crystalline PrTm2Pd2 at its relaxed geometry (GGA-PBE).

Geometry as POSCAR:
```
PrTm2Pd2
1.0
-0.165 4.548 1.417
-4.823 0.426 -1.928
-3.032 -3.079 9.532
Pr Tm Pd
2 4 4
direct
0.250 0.693 0.232
0.750 0.307 0.768
0.250 0.831 0.890
0.750 0.169 0.110
0.250 0.251 0.502
0.750 0.749 0.498
0.250 0.772 0.626
0.750 0.228 0.374
0.250 0.340 0.982
0.750 0.660 0.018
```

Computed properties:
The symmetry is P2_1/m. The formation energy comes out at -0.676 eV per atom.

# 10
Entry from Alexandria: crystalline PrTmPd at its relaxed geometry (GGA-PBE).

Geometry as POSCAR:
```
PrTmPd
1.0
-0.569 0.130 3.538
3.008 -1.872 0.552
2.008 6.153 -1.720
Pr Tm Pd
1 1 1
direct
0.020 0.020 0.041
0.297 0.297 0.594
0.683 0.683 0.365
```

Computed properties:
For the energy relative to the lowest polymorph listed for this composition, the calculation gives 0.0451 eV/atom. The symmetry is I4mm. The formation energy comes out at -0.526 eV per atom.

# 11
Entry from Alexandria: crystalline PrTmPd at its relaxed geometry (GGA-PBE).

Geometry as POSCAR:
```
PrTmPd
1.0
-3.717 4.380 -2.794
3.970 -1.449 -7.554
-5.878 -3.504 2.327
Pr Tm Pd
4 4 4
direct
0.367 0.134 0.775
0.633 0.866 0.225
0.867 0.366 0.725
0.133 0.634 0.275
0.843 0.202 0.127
0.657 0.702 0.627
0.157 0.798 0.873
0.343 0.298 0.373
0.406 0.519 0.834
0.594 0.481 0.166
0.094 0.019 0.334
0.906 0.981 0.666
```

Computed properties:
For the energy relative to the lowest polymorph listed for this composition, the calculation gives 0.0000 eV/atom. The symmetry is P2_1/c. The formation energy comes out at -0.571 eV per atom.

# 12
Entry from Alexandria: crystalline Pr2TmPd at its relaxed geometry (GGA-PBE).

Geometry as POSCAR:
```
Pr2TmPd
1.0
3.741 0.000 0.000
0.000 3.741 0.000
0.000 0.000 8.280
Pr Tm Pd
2 1 1
direct
0.000 0.000 0.791
0.000 0.000 0.209
0.500 0.500 0.500
0.500 0.500 0.000
```

Computed properties:
For the energy relative to the lowest polymorph listed for this composition, the calculation gives 0.0913 eV/atom. The symmetry is P4/mmm. The formation energy comes out at -0.299 eV per atom.

# 13
Entry from Alexandria: crystalline PrTmPd at its relaxed geometry (GGA-PBE).

Geometry as POSCAR:
```
PrTmPd
1.0
4.961 0.000 0.000
2.480 4.296 0.000
2.480 1.432 4.050
Pr Tm Pd
1 1 1
direct
0.000 0.000 0.000
0.500 0.500 0.500
0.250 0.250 0.250
```

Computed properties:
For the energy relative to the lowest polymorph listed for this composition, the calculation gives 0.1428 eV/atom. The symmetry is F-43m. The formation energy comes out at -0.428 eV per atom.

# 14
Entry from Alexandria: crystalline Pr2TmPd at its relaxed geometry (GGA-PBE).

Geometry as POSCAR:
```
Pr2TmPd
1.0
-3.744 0.532 -3.439
-0.532 -1.113 -3.392
-3.817 -7.360 3.021
Pr Tm Pd
2 1 1
direct
0.878 0.999 0.539
0.378 0.000 0.228
0.378 0.999 0.841
0.878 0.999 0.003
```

Computed properties:
For the energy relative to the lowest polymorph listed for this composition, the calculation gives 0.0000 eV/atom. The symmetry is Cmm2. The formation energy comes out at -0.390 eV per atom.

# 15
Entry from Alexandria: crystalline PrTmPd2 at its relaxed geometry (GGA-PBE).

Geometry as POSCAR:
```
PrTmPd2
1.0
-3.030 0.027 2.908
-1.203 -3.592 1.811
3.079 -0.338 6.243
Pr Tm Pd
1 1 2
direct
0.500 0.500 0.500
0.000 0.000 0.000
0.742 0.742 0.775
0.258 0.258 0.225
```

Computed properties:
For the energy relative to the lowest polymorph listed for this composition, the calculation gives 0.1463 eV/atom. The symmetry is R-3m. The formation energy comes out at -0.713 eV per atom.

# 16
Entry from Alexandria: crystalline PrTmPd at its relaxed geometry (GGA-PBE).

Geometry as POSCAR:
```
PrTmPd
1.0
4.047 0.000 0.000
0.000 4.773 0.000
0.000 -2.386 4.133
Pr Tm Pd
1 1 1
direct
0.633 0.667 0.333
0.114 0.000 0.000
0.254 0.333 0.667
```

Computed properties:
For the energy relative to the lowest polymorph listed for this composition, the calculation gives 0.1702 eV/atom. The symmetry is P3m1. The formation energy comes out at -0.401 eV per atom.

# 17
Entry from Alexandria: crystalline PrTmPd2 at its relaxed geometry (GGA-PBE).

Geometry as POSCAR:
```
PrTmPd2
1.0
3.478 0.000 0.000
0.000 3.478 0.000
0.000 0.000 7.394
Pr Tm Pd
1 1 2
direct
0.500 0.500 0.500
0.500 0.500 0.000
0.000 0.000 0.780
0.000 0.000 0.220
```

Computed properties:
For the energy relative to the lowest polymorph listed for this composition, the calculation gives 0.0383 eV/atom. The symmetry is P4/mmm. The formation energy comes out at -0.821 eV per atom.

# 18
Entry from Alexandria: crystalline Pr2TmPd2 at its relaxed geometry (GGA-PBE).

Geometry as POSCAR:
```
Pr2TmPd2
1.0
4.137 0.000 0.000
0.000 7.902 0.000
0.000 0.000 7.902
Pr Tm Pd
4 2 4
direct
0.500 0.170 0.670
0.500 0.670 0.830
0.500 0.830 0.330
0.500 0.330 0.170
0.000 0.000 0.000
0.000 0.500 0.500
0.000 0.369 0.869
0.000 0.869 0.631
0.000 0.631 0.131
0.000 0.131 0.369
```

Computed properties:
For the energy relative to the lowest polymorph listed for this composition, the calculation gives 0.0234 eV/atom. The symmetry is P4/mbm. The formation energy comes out at -0.655 eV per atom.

# 19
Entry from Alexandria: crystalline PrTmZnPd at its relaxed geometry (GGA-PBE).

Geometry as POSCAR:
```
PrTmZnPd
1.0
-2.767 -2.254 0.455
1.321 -0.976 3.201
-3.724 5.205 3.124
Pr Tm Zn Pd
1 1 1 1
direct
0.000 0.000 0.858
0.000 0.000 0.348
0.500 0.500 0.581
0.500 0.500 0.141
```

Computed properties:
For the energy relative to the lowest polymorph listed for this composition, the calculation gives 0.0000 eV/atom. The symmetry is P4mm. The formation energy comes out at -0.584 eV per atom.

# 20
Entry from Alexandria: crystalline PrTmZnPd at its relaxed geometry (GGA-PBE).

Geometry as POSCAR:
```
PrTmZnPd
1.0
-4.667 -1.445 1.396
-0.853 -4.803 1.423
-0.978 -1.071 4.870
Pr Zn Tm Pd
1 1 1 1
direct
0.250 0.250 0.250
0.000 0.000 0.000
0.750 0.750 0.750
0.500 0.500 0.500
```

Computed properties:
For the energy relative to the lowest polymorph listed for this composition, the calculation gives 0.0450 eV/atom. The symmetry is F-43m. The formation energy comes out at -0.539 eV per atom.